Material: Ho8Bi2C3
Method: DFT, PBE
State: optimized geometry

The space group is C2/m (No. 12) and the conventional cell measures 15.344, 7.227 and 6.357 Å, with angles of 90.00, 106.01 and 90.00 degrees. The asymmetric unit holds Ho at (0.088, 0.241, 0.387), Ho at (0.090, 0.000, 0.895), Ho at (0.092, 0.500, 0.914), Bi at (0.247, 0.500, 0.678), C at (0.000, 0.000, 0.500) and C at (0.000, 0.252, 0.000).

---

Material: Ho5Bi2C
Method: DFT, PBE
State: optimized geometry

The space group is Cmcm (No. 63) and the conventional cell measures 5.053, 15.983 and 13.007 Å, with angles of 90.00, 90.00 and 90.00 degrees. The asymmetric unit holds Ho at (0.000, 0.084, 0.126), Ho at (0.000, 0.284, 0.082), Ho at (0.000, 0.289, 0.750), Bi at (0.000, 0.115, 0.611) and C at (0.000, 0.191, 0.250).

---

Material: Ho6BiC3
Method: DFT, PBE
State: optimized geometry

The space group is P2_1/m (No. 11) and the conventional cell measures 10.553, 3.613 and 11.787 Å, with angles of 90.00, 101.45 and 90.00 degrees. The asymmetric unit holds Ho at (0.029, 0.250, 0.126), Ho at (0.113, 0.750, 0.453), Ho at (0.167, 0.250, 0.743), Ho at (0.278, 0.750, 0.017), Ho at (0.308, 0.250, 0.304), Ho at (0.419, 0.250, 0.582), Bi at (0.454, 0.750, 0.824), C at (0.025, 0.750, 0.649), C at (0.130, 0.250, 0.942) and C at (0.354, 0.750, 0.441).

---

Material: HoBiC
Method: DFT, PBE
State: optimized geometry

The space group is Immm (No. 71) and the conventional cell measures 4.099, 4.350 and 16.987 Å, with angles of 90.00, 90.00 and 90.00 degrees. The asymmetric unit holds Ho at (0.000, 0.000, 0.110), Bi at (0.000, 0.000, 0.310) and C at (0.000, 0.355, 0.000).

---

Material: Ho6Bi3C2
Method: DFT, PBE
State: optimized geometry

The space group is I4/mmm (No. 139) and the conventional cell measures 4.764, 4.764 and 25.521 Å, with angles of 90.00, 90.00 and 90.00 degrees. The asymmetric unit holds Ho at (0.000, 0.000, 0.190), Ho at (0.000, 0.500, 0.085), Bi at (0.000, 0.000, 0.319), Bi at (0.000, 0.000, 0.500) and C at (0.000, 0.000, 0.102).

---

Material: Ho5Bi2C2
Method: DFT, PBE
State: optimized geometry

The space group is C2/m (No. 12) and the conventional cell measures 13.222, 5.041 and 7.284 Å, with angles of 90.00, 106.10 and 90.00 degrees. The asymmetric unit holds Ho at (0.000, 0.000, 0.000), Ho at (0.155, 0.000, 0.585), Ho at (0.167, 0.500, 0.924), Bi at (0.092, 0.500, 0.313) and C at (0.157, 0.000, 0.891).

---

Material: Ho4Bi2C
Method: DFT, PBE
State: optimized geometry

The space group is P2_1/m (No. 11) and the conventional cell measures 6.956, 6.720 and 8.819 Å, with angles of 90.00, 108.52 and 90.00 degrees. The asymmetric unit holds Ho at (0.003, 0.001, 0.273), Ho at (0.373, 0.750, 0.062), Ho at (0.411, 0.750, 0.639), Bi at (0.221, 0.250, 0.046), Bi at (0.291, 0.250, 0.578) and C at (0.214, 0.750, 0.798).

---

Material: Ho4BiC2
Method: DFT, PBE
State: optimized geometry

The space group is R-3m (No. 166, hexagonal axes) and the conventional cell measures 3.6122, 3.6122 and 42.2553 Å, with angles of 90.00, 90.00 and 120.00 degrees. The asymmetric unit holds Ho at (0.0000, 0.0000, 0.1248), Ho at (0.0000, 0.0000, 0.2712), Bi at (0.0000, 0.0000, 0.0000) and C at (0.0000, 0.0000, 0.4266).

---

Short version: volume = 26.061; 32.828; 22.025; 25.241; 26.328; 25.916; 27.923; 22.738 A^3/atom, in the order given.
Short version: D(E_F) = 18.91; 28.78; 14.40; 7.96; 8.18; 6.21; 8.33; 12.58 states/eV/cell, in the order given.
Short version: energy relative to the elements = -0.402; -0.147; -0.364; -0.001; -0.595; -0.393; -0.508; -0.446 eV per atom, in the order given.